# 1
VASP calculation (PBE-GGA) on KBaCa2Si after structural relaxation.

```
KBaCa2Si
1.0
5.924 0.000 0.000
0.000 5.924 0.000
0.000 0.000 6.597
Si Ca Ba K
1 2 1 1
direct
0.000 0.000 0.000 Si
0.000 0.500 0.000 Ca
0.500 0.000 0.000 Ca
0.000 0.000 0.500 Ba
0.500 0.500 0.500 K
```

Summary:
* formation energy from raw total energies: -72 meV/atom
* SG: P4/mmm
* total DFT energy (no corrections): -2.56 eV/atom
* D(E_F): 0.68 states/eV/atom

# 2
VASP calculation (PBE-GGA) on KBaCaTa2 after structural relaxation.

```
KBaCaTa2
1.0
-2.899 3.643 2.483
-3.913 -4.473 1.994
2.930 -0.628 4.343
Ca K Ta Ba
1 1 2 1
direct
0.000 0.000 0.000 Ca
0.500 0.500 0.500 K
0.500 0.000 0.000 Ta
0.000 0.000 0.500 Ta
0.000 0.500 0.000 Ba
```

Summary:
* energy relative to the elements: 2.019 eV/atom
* SG: P4/mmm
* total DFT energy (no corrections): -3.73 eV/atom
* D(E_F): 1.09 states/eV/atom